# 1
K2HfBiP after structural relaxation. Source: Alexandria, functional PBE-GGA.

The structure in extended XYZ format:
```
5
Lattice="6.337 0.000 0.000 0.000 6.337 0.000 0.000 0.000 5.518" Properties=species:S:1:pos:R:3 pbc="T T T"
K 0.000 3.169 0.000
K 3.169 0.000 0.000
Hf 0.000 0.000 2.759
Bi 0.000 0.000 0.000
P 3.169 3.169 2.759
```

## Properties
Formation energy from the elements in eV per atom: 0.869
Space-group type: No. 123



# 2
K2HfBiS4 after structural relaxation. Source: Alexandria, functional PBE-GGA.

The structure in extended XYZ format:
```
8
Lattice="7.741 0.000 0.000 0.000 3.884 0.000 -3.271 0.000 7.243" Properties=species:S:1:pos:R:3 pbc="T T T"
K 0.000 0.000 0.000
K -1.636 1.942 3.621
Hf 2.235 0.000 3.621
Bi 3.871 1.942 0.000
S 1.176 1.942 2.264
S 0.218 0.000 5.245
S 4.252 0.000 1.997
S 3.293 1.942 4.979
```

## Properties
Space-group type: No. 10
Uncorrected formation energy in eV per formula unit: -8.725



# 3
K2HfBiSe after structural relaxation. Source: Alexandria, functional PBE-GGA.

The structure in extended XYZ format:
```
5
Lattice="6.409 0.000 0.000 0.000 6.409 0.000 0.000 0.000 5.521" Properties=species:S:1:pos:R:3 pbc="T T T"
K 0.000 3.204 0.000
K 3.204 0.000 0.000
Hf 0.000 0.000 2.761
Bi 0.000 0.000 0.000
Se 3.204 3.204 2.761
```

## Properties
Space-group type: No. 123
Uncorrected formation energy in eV per formula unit: 1.917



# 4
K3HfBi2Se6 after structural relaxation. Source: Alexandria, functional PBE-GGA.

The structure in extended XYZ format:
```
12
Lattice="3.731 -6.484 0.000 3.731 6.484 0.000 -2.505 0.000 7.501" Properties=species:S:1:pos:R:3 pbc="T T T"
K 0.000 0.000 0.000
K 3.731 2.259 0.000
K 3.731 -2.259 0.000
Hf 2.479 0.000 3.751
Bi 2.479 4.339 3.751
Bi 2.479 -4.339 3.751
Se 1.345 1.974 2.245
Se 0.215 0.000 5.270
Se 1.345 -1.974 2.245
Se 3.612 1.974 5.257
Se 4.743 0.000 2.231
Se 3.612 -1.974 5.257
```

## Properties
Space-group type: No. 12
Uncorrected formation energy in eV per formula unit: -11.305



# 5
KHf2TaBi after structural relaxation. Source: Alexandria, functional PBE-GGA.

The structure in extended XYZ format:
```
5
Lattice="4.798 0.000 0.000 0.000 4.798 0.000 0.000 0.000 5.414" Properties=species:S:1:pos:R:3 pbc="T T T"
K 0.000 0.000 0.000
Hf 0.000 2.399 0.000
Hf 2.399 0.000 0.000
Ta 2.399 2.399 2.707
Bi 0.000 0.000 2.707
```

## Properties
Formation energy from the elements in eV per atom: 2.336
Space-group type: No. 123



# 6
K3HfBi2Te6 after structural relaxation. Source: Alexandria, functional PBE-GGA.

The structure in extended XYZ format:
```
12
Lattice="3.953 -6.875 0.000 3.953 6.875 0.000 -2.655 0.000 8.077" Properties=species:S:1:pos:R:3 pbc="T T T"
K 0.000 0.000 0.000
K 3.953 2.406 0.000
K 3.953 -2.406 0.000
Hf 2.625 0.000 4.039
Bi 2.625 4.604 4.039
Bi 2.625 -4.604 4.039
Te 1.410 2.121 2.413
Te 0.196 0.000 5.689
Te 1.410 -2.121 2.413
Te 3.841 2.121 5.664
Te 5.054 0.000 2.389
Te 3.841 -2.121 5.664
```

## Properties
Space-group type: No. 12
Uncorrected formation energy in eV per formula unit: -8.295



| no. | D(E_F) (states/eV/cell) |
| --- | --- |
| 1 | 6.2 |
| 2 | 0.8 |
| 3 | 2.7 |
| 4 | 5.5 |
| 5 | 6.3 |
| 6 | 6.2 |